# 1
A relaxed GaB3Rh crystal. Source: Alexandria via LeMat-Bulk, functional PBE.

The structure in CIF format:
```
data_GaB3Rh
_chemical_formula_sum 'Ga1 B3 Rh1'
_cell_length_a 3.998
_cell_length_b 3.998
_cell_length_c 3.998
_cell_angle_alpha 90.00
_cell_angle_beta 90.00
_cell_angle_gamma 90.00
_symmetry_space_group_name_H-M 'P 1'
_symmetry_Int_Tables_number 1
_symmetry_space_group_name_Hall 'P 1'
loop_
_atom_site_label
_atom_site_fract_x
_atom_site_fract_y
_atom_site_fract_z
Rh1 0.500 0.500 0.500
B1 0.000 0.500 0.000
B2 0.500 0.000 0.000
B3 0.000 0.000 0.500
Ga1 0.000 0.000 0.000
```

Calculated values
DOS(E_F) in states/eV/atom: 0.849
SG: Pm-3m, No. 221
E_form in eV per atom: 1.964
Relative energy among the computed polymorphs in eV/f.u.: 4.63
Electronic total energy in eV per atom: -4.1183

---

# 2
A relaxed Ga6BRh12 crystal. Source: Alexandria via LeMat-Bulk, functional PBE.

The structure in CIF format:
```
data_Ga6BRh12
_chemical_formula_sum 'Ga6 B1 Rh12'
_cell_length_a 6.734
_cell_length_b 6.734
_cell_length_c 6.734
_cell_angle_alpha 101.04
_cell_angle_beta 101.04
_cell_angle_gamma 101.04
_symmetry_space_group_name_H-M 'P 1'
_symmetry_Int_Tables_number 1
_symmetry_space_group_name_Hall 'P 1'
loop_
_atom_site_label
_atom_site_fract_x
_atom_site_fract_y
_atom_site_fract_z
Rh1 0.519 0.203 0.425
Rh2 0.943 0.968 0.683
Rh3 0.481 0.797 0.575
Rh4 0.797 0.575 0.481
Rh5 0.057 0.032 0.317
Rh6 0.683 0.943 0.968
Rh7 0.317 0.057 0.032
Rh8 0.425 0.519 0.203
Rh9 0.032 0.317 0.057
Rh10 0.575 0.481 0.797
Rh11 0.203 0.425 0.519
Rh12 0.968 0.683 0.943
Ga1 0.676 0.883 0.313
Ga2 0.313 0.676 0.883
Ga3 0.883 0.313 0.676
Ga4 0.687 0.324 0.117
Ga5 0.117 0.687 0.324
Ga6 0.324 0.117 0.687
B1 0.000 0.000 0.000
```

Calculated values
DOS(E_F) in states/eV/atom: 0.939
SG: R-3, No. 148
E_form in eV per atom: -0.256
Electronic total energy in eV per atom: -6.2061

---

# 3
A relaxed GaB2Rh5 crystal. Source: Alexandria via LeMat-Bulk, functional PBE.

The structure in CIF format:
```
data_GaB2Rh5
_chemical_formula_sum 'Ga1 B2 Rh5'
_cell_length_a 2.898
_cell_length_b 5.574
_cell_length_c 6.955
_cell_angle_alpha 113.62
_cell_angle_beta 102.03
_cell_angle_gamma 90.00
_symmetry_space_group_name_H-M 'P 1'
_symmetry_Int_Tables_number 1
_symmetry_space_group_name_Hall 'P 1'
loop_
_atom_site_label
_atom_site_fract_x
_atom_site_fract_y
_atom_site_fract_z
Rh1 0.348 0.595 0.695
Rh2 0.652 0.899 0.305
Rh3 0.348 0.101 0.695
Rh4 0.000 0.500 0.000
Rh5 0.652 0.405 0.305
B1 0.214 0.714 0.428
B2 0.786 0.286 0.572
Ga1 0.000 0.000 0.000
```

Calculated values
DOS(E_F) in states/eV/atom: 0.753
SG: Immm, No. 71
E_form in eV per atom: -0.365
Electronic total energy in eV per atom: -7.0078

---

Copy entry 2 word for word.
A relaxed Ga6BRh12 crystal. Source: Alexandria via LeMat-Bulk, functional PBE.

The structure in CIF format:
```
data_Ga6BRh12
_chemical_formula_sum 'Ga6 B1 Rh12'
_cell_length_a 6.734
_cell_length_b 6.734
_cell_length_c 6.734
_cell_angle_alpha 101.04
_cell_angle_beta 101.04
_cell_angle_gamma 101.04
_symmetry_space_group_name_H-M 'P 1'
_symmetry_Int_Tables_number 1
_symmetry_space_group_name_Hall 'P 1'
loop_
_atom_site_label
_atom_site_fract_x
_atom_site_fract_y
_atom_site_fract_z
Rh1 0.519 0.203 0.425
Rh2 0.943 0.968 0.683
Rh3 0.481 0.797 0.575
Rh4 0.797 0.575 0.481
Rh5 0.057 0.032 0.317
Rh6 0.683 0.943 0.968
Rh7 0.317 0.057 0.032
Rh8 0.425 0.519 0.203
Rh9 0.032 0.317 0.057
Rh10 0.575 0.481 0.797
Rh11 0.203 0.425 0.519
Rh12 0.968 0.683 0.943
Ga1 0.676 0.883 0.313
Ga2 0.313 0.676 0.883
Ga3 0.883 0.313 0.676
Ga4 0.687 0.324 0.117
Ga5 0.117 0.687 0.324
Ga6 0.324 0.117 0.687
B1 0.000 0.000 0.000
```

Calculated values
DOS(E_F) in states/eV/atom: 0.939
SG: R-3, No. 148
E_form in eV per atom: -0.256
Electronic total energy in eV per atom: -6.2061